Record 1
DFT (meta-GGA SCAN) results for a PBEsol-optimized structure of Y3Ni.

Geometry as CIF:
```
data_Y3Ni
_chemical_formula_sum 'Y12 Ni4'
_cell_length_a 6.257
_cell_length_b 6.759
_cell_length_c 9.467
_cell_angle_alpha 90.00
_cell_angle_beta 90.00
_cell_angle_gamma 90.00
_space_group_name_H-M_alt 'P 1'
_space_group_IT_number 1
_space_group_name_Hall 'P 1'
loop_
_atom_site_label
_atom_site_fract_x
_atom_site_fract_y
_atom_site_fract_z
Ni1 0.447 0.390 0.250
Ni2 0.947 0.110 0.750
Ni3 0.053 0.890 0.250
Ni4 0.553 0.610 0.750
Y1 0.821 0.822 0.566
Y2 0.179 0.178 0.066
Y3 0.639 0.033 0.250
Y4 0.679 0.322 0.934
Y5 0.679 0.322 0.566
Y6 0.139 0.467 0.750
Y7 0.179 0.178 0.434
Y8 0.321 0.678 0.434
Y9 0.861 0.533 0.250
Y10 0.821 0.822 0.934
Y11 0.321 0.678 0.066
Y12 0.361 0.967 0.750
```

Results
- Crystal system: orthorhombic
- D(E_F): 1.045 states/eV per atom
- Volume: 400.4 Å³/cell
- Total energy: -25.18 eV/atom

Record 2
DFT (meta-GGA SCAN) results for a PBEsol-optimized structure of Mn3NiO8.

Geometry as CIF:
```
data_Mn3NiO8
_chemical_formula_sum 'Mn3 Ni1 O8'
_cell_length_a 5.683
_cell_length_b 5.683
_cell_length_c 5.683
_cell_angle_alpha 59.79
_cell_angle_beta 59.79
_cell_angle_gamma 59.79
_space_group_name_H-M_alt 'P 1'
_space_group_IT_number 1
_space_group_name_Hall 'P 1'
loop_
_atom_site_label
_atom_site_fract_x
_atom_site_fract_y
_atom_site_fract_z
O1 0.767 0.263 0.767
O2 0.737 0.233 0.233
O3 0.265 0.265 0.265
O4 0.735 0.735 0.735
O5 0.767 0.767 0.263
O6 0.263 0.767 0.767
O7 0.233 0.233 0.737
O8 0.233 0.737 0.233
Ni1 0.000 0.000 0.000
Mn1 0.500 0.500 0.000
Mn2 0.000 0.500 0.500
Mn3 0.500 0.000 0.500
```

Results
- Crystal system: trigonal
- Uncorrected formation energy: -1.76 eV per atom
- Volume: 129.2 Å³/cell
- Total energy: -11.83 eV/atom

Record 3
DFT (meta-GGA SCAN) results for a PBEsol-optimized structure of NiBP2Cl.

Geometry as CIF:
```
data_NiBP2Cl
_chemical_formula_sum 'Ni1 B1 P2 Cl1'
_cell_length_a 3.985
_cell_length_b 3.985
_cell_length_c 4.281
_cell_angle_alpha 90.00
_cell_angle_beta 90.00
_cell_angle_gamma 90.00
_space_group_name_H-M_alt 'P 1'
_space_group_IT_number 1
_space_group_name_Hall 'P 1'
loop_
_atom_site_label
_atom_site_fract_x
_atom_site_fract_y
_atom_site_fract_z
Ni1 0.500 0.500 0.500
B1 0.000 0.000 0.000
Cl1 0.000 0.000 0.500
P1 0.000 0.500 0.000
P2 0.500 0.000 0.000
```

Results
- Crystal system: tetragonal
- D(E_F): 0.546 states/eV per atom
- Uncorrected formation energy: 1.09 eV per atom
- Volume: 68.0 Å³/cell
- Total energy: -9.38 eV/atom

Record 4
DFT (meta-GGA SCAN) results for a PBEsol-optimized structure of LiScMo2.

Geometry as CIF:
```
data_LiScMo2
_chemical_formula_sum 'Li1 Sc1 Mo2'
_cell_length_a 4.448
_cell_length_b 4.448
_cell_length_c 4.448
_cell_angle_alpha 60.00
_cell_angle_beta 60.00
_cell_angle_gamma 60.00
_space_group_name_H-M_alt 'P 1'
_space_group_IT_number 1
_space_group_name_Hall 'P 1'
loop_
_atom_site_label
_atom_site_fract_x
_atom_site_fract_y
_atom_site_fract_z
Mo1 0.750 0.750 0.750
Mo2 0.250 0.250 0.250
Sc1 0.500 0.500 0.500
Li1 0.000 0.000 0.000
```

Results
- Crystal system: cubic
- D(E_F): 1.309 states/eV per atom
- Volume: 62.2 Å³/cell
- Total energy: -20.75 eV/atom

Record 5
DFT (meta-GGA SCAN) results for a PBEsol-optimized structure of MnWAu.

Geometry as CIF:
```
data_MnWAu
_chemical_formula_sum 'Mn1 W1 Au1'
_cell_length_a 4.105
_cell_length_b 4.105
_cell_length_c 4.105
_cell_angle_alpha 60.00
_cell_angle_beta 60.00
_cell_angle_gamma 60.00
_space_group_name_H-M_alt 'P 1'
_space_group_IT_number 1
_space_group_name_Hall 'P 1'
loop_
_atom_site_label
_atom_site_fract_x
_atom_site_fract_y
_atom_site_fract_z
Mn1 0.250 0.250 0.250
W1 0.000 0.000 0.000
Au1 0.500 0.500 0.500
```

Results
- Crystal system: cubic
- D(E_F): 1.068 states/eV per atom
- Volume: 48.9 Å³/cell
- Total energy: -51.75 eV/atom

Record 6
DFT (meta-GGA SCAN) results for a PBEsol-optimized structure of SrLa2As2.

Geometry as CIF:
```
data_SrLa2As2
_chemical_formula_sum 'Sr2 La4 As4'
_cell_length_a 4.111
_cell_length_b 8.227
_cell_length_c 8.227
_cell_angle_alpha 90.00
_cell_angle_beta 90.00
_cell_angle_gamma 90.00
_space_group_name_H-M_alt 'P 1'
_space_group_IT_number 1
_space_group_name_Hall 'P 1'
loop_
_atom_site_label
_atom_site_fract_x
_atom_site_fract_y
_atom_site_fract_z
As1 0.000 0.152 0.348
As2 0.000 0.348 0.848
As3 0.000 0.848 0.652
As4 0.000 0.652 0.152
La1 0.500 0.851 0.351
La2 0.500 0.149 0.649
La3 0.500 0.649 0.851
La4 0.500 0.351 0.149
Sr1 0.000 0.500 0.500
Sr2 0.000 0.000 0.000
```

Results
- Crystal system: tetragonal
- D(E_F): 0.708 states/eV per atom
- Volume: 278.3 Å³/cell
- Total energy: -31.09 eV/atom

Record 7
DFT (meta-GGA SCAN) results for a PBEsol-optimized structure of B3Pb10Br3O13.

Geometry as CIF:
```
data_B3Pb10Br3O13
_chemical_formula_sum 'B6 Pb20 Br6 O26'
_cell_length_a 8.904
_cell_length_b 9.404
_cell_length_c 15.856
_cell_angle_alpha 77.53
_cell_angle_beta 73.69
_cell_angle_gamma 61.74
_space_group_name_H-M_alt 'P 1'
_space_group_IT_number 1
_space_group_name_Hall 'P 1'
loop_
_atom_site_label
_atom_site_fract_x
_atom_site_fract_y
_atom_site_fract_z
B1 0.874 0.709 0.684
B2 0.008 0.500 0.005
B3 0.277 0.798 0.804
B4 0.733 0.209 0.184
B5 0.488 0.000 0.505
B6 0.121 0.298 0.304
Pb1 0.688 0.891 0.071
Pb2 0.667 0.662 0.903
Pb3 0.337 0.341 0.098
Pb4 0.060 0.284 0.496
Pb5 0.140 0.524 0.798
Pb6 0.170 0.024 0.165
Pb7 0.827 0.484 0.211
Pb8 0.344 0.482 0.335
Pb9 0.340 0.112 0.939
Pb10 0.349 0.391 0.571
Pb11 0.839 0.982 0.835
Pb12 0.922 0.713 0.497
Pb13 0.160 0.784 0.996
Pb14 0.640 0.524 0.665
Pb15 0.224 0.841 0.598
Pb16 0.868 0.213 0.997
Pb17 0.768 0.162 0.403
Pb18 0.609 0.612 0.439
Pb19 0.538 0.024 0.298
Pb20 0.478 0.984 0.711
Br1 0.748 0.162 0.612
Br2 0.228 0.835 0.390
Br3 0.943 0.743 0.265
Br4 0.049 0.243 0.765
Br5 0.548 0.335 0.890
Br6 0.477 0.662 0.112
O1 0.867 0.255 0.155
O2 0.814 0.518 0.530
O3 0.167 0.474 0.468
O4 0.441 0.589 0.579
O5 0.424 0.088 0.576
O6 0.723 0.755 0.655
O7 0.391 0.089 0.079
O8 0.117 0.307 0.216
O9 0.141 0.755 0.830
O10 0.867 0.708 0.773
O11 0.333 0.833 0.866
O12 0.275 0.255 0.330
O13 0.968 0.333 0.366
O14 0.891 0.974 0.968
O15 0.947 0.547 0.927
O16 0.032 0.661 0.626
O17 0.459 0.868 0.507
O18 0.912 0.588 0.076
O19 0.638 0.895 0.934
O20 0.533 0.395 0.434
O21 0.165 0.368 0.007
O22 0.360 0.807 0.716
O23 0.138 0.018 0.030
O24 0.579 0.047 0.427
O25 0.652 0.208 0.273
O26 0.681 0.161 0.126
```

Results
- Crystal system: monoclinic
- D(E_F): 0.000 states/eV per atom
- Uncorrected formation energy: -1.57 eV per atom
- Volume: 1117.0 Å³/cell
- Total energy: -33.28 eV/atom

Record 8
DFT (meta-GGA SCAN) results for a PBEsol-optimized structure of Mg2Zn2Pb.

Geometry as CIF:
```
data_Mg2Zn2Pb
_chemical_formula_sum 'Mg4 Zn4 Pb2'
_cell_length_a 3.274
_cell_length_b 7.836
_cell_length_c 7.836
_cell_angle_alpha 90.00
_cell_angle_beta 90.00
_cell_angle_gamma 90.00
_space_group_name_H-M_alt 'P 1'
_space_group_IT_number 1
_space_group_name_Hall 'P 1'
loop_
_atom_site_label
_atom_site_fract_x
_atom_site_fract_y
_atom_site_fract_z
Mg1 0.500 0.322 0.178
Mg2 0.500 0.678 0.822
Mg3 0.500 0.178 0.678
Mg4 0.500 0.822 0.322
Pb1 0.000 0.000 0.000
Pb2 0.000 0.500 0.500
Zn1 0.000 0.885 0.615
Zn2 0.000 0.115 0.385
Zn3 0.000 0.615 0.115
Zn4 0.000 0.385 0.885
```

Results
- Crystal system: tetragonal
- D(E_F): 0.314 states/eV per atom
- Volume: 201.0 Å³/cell
- Total energy: -22.61 eV/atom

Record 9
DFT (meta-GGA SCAN) results for a PBEsol-optimized structure of CsNb3O.

Geometry as CIF:
```
data_CsNb3O
_chemical_formula_sum 'Cs1 Nb3 O1'
_cell_length_a 4.422
_cell_length_b 4.422
_cell_length_c 4.422
_cell_angle_alpha 90.00
_cell_angle_beta 90.00
_cell_angle_gamma 90.00
_space_group_name_H-M_alt 'P 1'
_space_group_IT_number 1
_space_group_name_Hall 'P 1'
loop_
_atom_site_label
_atom_site_fract_x
_atom_site_fract_y
_atom_site_fract_z
Cs1 0.500 0.500 0.500
Nb1 0.500 0.000 0.000
Nb2 0.000 0.000 0.500
Nb3 0.000 0.500 0.000
O1 0.000 0.000 0.000
```

Results
- Crystal system: cubic
- D(E_F): 1.004 states/eV per atom
- Uncorrected formation energy: 0.65 eV per atom
- Volume: 86.5 Å³/cell
- Total energy: -28.03 eV/atom

Record 10
DFT (meta-GGA SCAN) results for a PBEsol-optimized structure of HgSIO2.

Geometry as CIF:
```
data_HgSIO2
_chemical_formula_sum 'Hg1 S1 I1 O2'
_cell_length_a 4.011
_cell_length_b 4.011
_cell_length_c 7.427
_cell_angle_alpha 90.00
_cell_angle_beta 90.00
_cell_angle_gamma 90.00
_space_group_name_H-M_alt 'P 1'
_space_group_IT_number 1
_space_group_name_Hall 'P 1'
loop_
_atom_site_label
_atom_site_fract_x
_atom_site_fract_y
_atom_site_fract_z
O1 0.000 0.500 0.000
O2 0.500 0.000 0.000
I1 0.000 0.000 0.500
S1 0.500 0.500 0.500
Hg1 0.000 0.000 0.000
```

Results
- Crystal system: tetragonal
- D(E_F): 0.792 states/eV per atom
- Uncorrected formation energy: 0.67 eV per atom
- Volume: 119.5 Å³/cell
- Total energy: -24.72 eV/atom

Record 11
DFT (meta-GGA SCAN) results for a PBEsol-optimized structure of K14P16Pd9O56.

Geometry as CIF:
```
data_K14P16Pd9O56
_chemical_formula_sum 'K14 P16 Pd9 O56'
_cell_length_a 11.711
_cell_length_b 11.711
_cell_length_c 12.183
_cell_angle_alpha 67.70
_cell_angle_beta 67.70
_cell_angle_gamma 73.42
_space_group_name_H-M_alt 'P 1'
_space_group_IT_number 1
_space_group_name_Hall 'P 1'
loop_
_atom_site_label
_atom_site_fract_x
_atom_site_fract_y
_atom_site_fract_z
O1 0.082 0.877 0.124
O2 0.566 0.566 0.147
O3 0.270 0.482 0.575
O4 0.184 0.380 0.337
O5 0.727 0.516 0.429
O6 0.994 0.742 0.578
O7 0.877 0.082 0.124
O8 0.342 0.557 0.172
O9 0.594 0.937 0.806
O10 0.608 0.395 0.666
O11 0.797 0.797 0.748
O12 0.407 0.761 0.121
O13 0.125 0.922 0.871
O14 0.027 0.027 0.250
O15 0.254 0.254 0.711
O16 0.422 0.157 0.810
O17 0.406 0.070 0.187
O18 0.150 0.817 0.314
O19 0.249 0.985 0.113
O20 0.816 0.621 0.664
O21 0.603 0.390 0.338
O22 0.204 0.204 0.252
O23 0.068 0.395 0.659
O24 0.004 0.262 0.418
O25 0.572 0.845 0.195
O26 0.390 0.603 0.338
O27 0.751 0.022 0.882
O28 0.589 0.239 0.885
O29 0.157 0.422 0.810
O30 0.022 0.751 0.882
O31 0.186 0.855 0.679
O32 0.443 0.658 0.830
O33 0.922 0.125 0.871
O34 0.929 0.605 0.346
O35 0.380 0.184 0.337
O36 0.743 0.743 0.291
O37 0.239 0.589 0.885
O38 0.482 0.270 0.575
O39 0.761 0.407 0.121
O40 0.855 0.186 0.679
O41 0.434 0.434 0.858
O42 0.262 0.004 0.418
O43 0.395 0.608 0.666
O44 0.742 0.994 0.578
O45 0.070 0.406 0.187
O46 0.516 0.727 0.429
O47 0.985 0.249 0.113
O48 0.395 0.068 0.659
O49 0.937 0.594 0.806
O50 0.557 0.342 0.172
O51 0.974 0.974 0.747
O52 0.817 0.150 0.314
O53 0.621 0.816 0.664
O54 0.845 0.572 0.195
O55 0.658 0.443 0.830
O56 0.605 0.929 0.346
P1 0.894 0.687 0.695
P2 0.398 0.182 0.686
P3 0.919 0.135 0.199
P4 0.600 0.816 0.317
P5 0.580 0.376 0.805
P6 0.421 0.623 0.198
P7 0.106 0.317 0.304
P8 0.867 0.083 0.796
P9 0.182 0.398 0.686
P10 0.083 0.867 0.796
P11 0.687 0.894 0.695
P12 0.816 0.600 0.317
P13 0.135 0.919 0.199
P14 0.317 0.106 0.304
P15 0.376 0.580 0.805
P16 0.623 0.421 0.198
K1 0.422 0.874 0.584
K2 0.874 0.422 0.584
K3 0.886 0.361 0.902
K4 0.257 0.743 0.500
K5 0.157 0.157 0.597
K6 0.839 0.839 0.408
K7 0.000 0.000 0.500
K8 0.581 0.126 0.415
K9 0.093 0.650 0.097
K10 0.361 0.886 0.902
K11 0.650 0.093 0.097
K12 0.126 0.581 0.415
K13 0.743 0.257 0.500
K14 0.250 0.250 0.000
Pd1 0.435 0.435 0.455
Pd2 0.002 0.002 0.997
Pd3 0.408 0.912 0.161
Pd4 0.912 0.408 0.161
Pd5 0.632 0.632 0.750
Pd6 0.592 0.091 0.838
Pd7 0.091 0.592 0.838
Pd8 0.564 0.564 0.549
Pd9 0.369 0.369 0.251
```

Results
- Crystal system: monoclinic
- D(E_F): 0.000 states/eV per atom
- Uncorrected formation energy: -2.15 eV per atom
- Volume: 1410.7 Å³/cell
- Total energy: -11.91 eV/atom

Record 12
DFT (meta-GGA SCAN) results for a PBEsol-optimized structure of NiMo2Os.

Geometry as CIF:
```
data_NiMo2Os
_chemical_formula_sum 'Ni1 Mo2 Os1'
_cell_length_a 4.280
_cell_length_b 4.280
_cell_length_c 4.280
_cell_angle_alpha 60.00
_cell_angle_beta 60.00
_cell_angle_gamma 60.00
_space_group_name_H-M_alt 'P 1'
_space_group_IT_number 1
_space_group_name_Hall 'P 1'
loop_
_atom_site_label
_atom_site_fract_x
_atom_site_fract_y
_atom_site_fract_z
Ni1 0.500 0.500 0.500
Mo1 0.250 0.250 0.250
Mo2 0.000 0.000 0.000
Os1 0.750 0.750 0.750
```

Results
- Crystal system: cubic
- D(E_F): 1.123 states/eV per atom
- Volume: 55.4 Å³/cell
- Total energy: -39.26 eV/atom

> Among the records above, which one has the lowest volume?

MnWAu